Here is crystalline CaGeI3 at its relaxed geometry from Alexandria. Energies are from PBE.

VASP energy ... -13.2 eV per formula unit
Symmetry ... Pm-3m (221)
Formation energy (no corrections) ... -0.3819 eV/atom
Excess energy over the best structure of this formula in the dataset ... 0.0256 eV per atom
Crystal system ... cubic
M_tot ... 0.00 μB/cell

Unit cell a=5.816 b=5.816 c=5.816 alpha=90.00 beta=90.00 gamma=90.00
Sites, in units of the cell vectors:
Ca 0.000 0.000 0.000
Ge 0.500 0.500 0.500
I 0.000 0.500 0.500
I 0.500 0.000 0.500
I 0.500 0.500 0.000



Here is crystalline Ca2GeI at its relaxed geometry from Alexandria. Energies are from PBE.

VASP energy ... -13.6 eV per formula unit
Symmetry ... R3m (160)
Formation energy (no corrections) ... -0.8567 eV/atom
Excess energy over the best structure of this formula in the dataset ... 0.0348 eV per atom
Crystal system ... trigonal
M_tot ... 0.00 μB/cell

Unit cell a=4.243 b=4.243 c=24.652 alpha=90.00 beta=90.00 gamma=120.00
Sites, in units of the cell vectors:
Ca 0.000 0.000 0.000
Ca 0.000 0.000 0.195
Ca 0.333 0.667 0.667
Ca 0.333 0.667 0.862
Ca 0.667 0.333 0.333
Ca 0.667 0.333 0.528
Ge 0.000 0.000 0.598
Ge 0.333 0.667 0.264
Ge 0.667 0.333 0.931
I 0.000 0.000 0.428
I 0.333 0.667 0.094
I 0.667 0.333 0.761